{"formula": "Ce2Cd3Sn2", "functional": "PBE-GGA", "state": "relaxed", "cell": [[2.184, -10.891, 0.000], [2.184, 10.891, 0.000], [0.000, 0.000, 4.158]], "species": ["Ce", "Ce", "Cd", "Cd", "Cd", "Sn", "Sn"], "frac_coords": [[0.161, 0.839, 0.000], [0.839, 0.161, 0.000], [0.000, 0.000, 0.000], [0.434, 0.566, 0.500], [0.566, 0.434, 0.500], [0.294, 0.706, 0.500], [0.706, 0.294, 0.500]], "dft_energy_ha_per_atom": -0.127, "crystal_system": "orthorhombic", "spacegroup": "Cmmm, No. 65", "formation_energy_ev_per_fu": -1.53, "dos_ef_per_ev_atom": 2.4047}

=====

{"formula": "Tb2NdThBi4", "functional": "PBE-GGA", "state": "relaxed", "cell": [[7.857, 0.000, 0.000], [0.000, 4.558, 0.000], [-2.631, 0.000, 7.429]], "species": ["Tb", "Tb", "Nd", "Th", "Bi", "Bi", "Bi", "Bi"], "frac_coords": [[0.000, 0.000, 0.000], [0.000, 0.500, 0.500], [0.500, 0.000, 0.500], [0.500, 0.500, 0.000], [0.242, 0.000, 0.748], [0.243, 0.500, 0.247], [0.757, 0.500, 0.753], [0.758, 0.000, 0.252]], "dft_energy_ha_per_atom": -0.200, "crystal_system": "monoclinic", "spacegroup": "P2/m, No. 10", "formation_energy_ev_per_fu": -6.65, "dos_ef_per_ev_atom": 0.2321}

=====

{"formula": "CsSb3Pt3", "functional": "PBE-GGA", "state": "relaxed", "cell": [[7.444, 0.000, 0.000], [0.000, 7.444, 0.000], [0.000, 0.000, 7.444]], "species": ["Cs", "Cs", "Sb", "Sb", "Sb", "Sb", "Sb", "Sb", "Pt", "Pt", "Pt", "Pt", "Pt", "Pt"], "frac_coords": [[0.000, 0.000, 0.000], [0.500, 0.500, 0.500], [0.000, 0.250, 0.500], [0.000, 0.750, 0.500], [0.250, 0.500, 0.000], [0.500, 0.000, 0.250], [0.500, 0.000, 0.750], [0.750, 0.500, 0.000], [0.000, 0.500, 0.250], [0.000, 0.500, 0.750], [0.250, 0.000, 0.500], [0.500, 0.250, 0.000], [0.500, 0.750, 0.000], [0.750, 0.000, 0.500]], "dft_energy_ha_per_atom": -0.178, "crystal_system": "cubic", "raw_formation_energy_ev_per_atom": -0.3677, "relative_energy_kj_per_mol_atoms": 2.8, "spacegroup": "Pm-3n, No. 223", "dos_ef_per_ev_atom": 1.0829}